(1)
DFT (GGA-PBE) results for a relaxed CsNiBr2 crystal.

energy above the lowest structure with this stoichiometry: 451 meV per atom
E_form (uncorrected): -0.356 eV/atom
calculated density: 4.30 g/cm³
space-group type: No. 166

abc: 9.603 9.603 9.603
angles: 24.68 24.68 24.68
Fractional coordinates of all 4 atoms:
Cs 0.000 0.000 0.000
Ni 0.500 0.500 0.500
Br 0.120 0.120 0.120
Br 0.880 0.880 0.880

***

(2)
DFT (GGA-PBE) results for a relaxed CsNiBr3 crystal.

E_form (uncorrected): -0.827 eV/atom
calculated density: 5.11 g/cm³
space-group type: No. 6

abc: 5.194 5.192 5.194
angles: 90.00 90.00 90.00
Fractional coordinates of all 5 atoms:
Cs 0.000 0.000 0.000
Ni 0.504 0.500 0.502
Br 0.002 0.500 0.500
Br 0.500 0.000 0.500
Br 0.500 0.500 0.001

***

Which of these has the lowest calculated density? CsNiBr2

***

What is the formula in the first record? CsNiBr2

***

Which of these has the lowest E_form (uncorrected)? CsNiBr3